No. 1
BaPdO, optimized geometry, DFT PBE-GGA; uncorrected energy = -5.387 eV per atom; spin magnetization = 0.0000 μB per atom; space-group type = Cm, No. 8
1.0
6.524 0.000 0.000
-0.716 5.139 0.000
-1.624 -0.229 4.303
Pd Ba O
2 2 2
direct
0.195 0.886 0.100 Pd
0.037 0.334 0.022 Pd
0.774 0.868 0.390 Ba
0.395 0.329 0.701 Ba
0.737 0.105 0.872 O
0.360 0.566 0.183 O

***

No. 2
BaPdO, optimized geometry, DFT PBE-GGA; uncorrected energy = -5.400 eV per atom; spin magnetization = 0.0000 μB per atom; space-group type = Pnma, No. 62
1.0
9.696 0.000 0.000
0.000 3.682 0.000
0.000 0.000 6.740
O Ba Pd
4 4 4
direct
0.104 0.250 0.678 O
0.396 0.750 0.178 O
0.896 0.750 0.322 O
0.604 0.250 0.822 O
0.831 0.250 0.588 Ba
0.669 0.750 0.088 Ba
0.169 0.750 0.412 Ba
0.331 0.250 0.912 Ba
0.459 0.250 0.375 Pd
0.041 0.750 0.875 Pd
0.541 0.750 0.625 Pd
0.959 0.250 0.125 Pd

***

No. 3
Ba2PdO3, optimized geometry, DFT PBE-GGA; uncorrected energy = -5.739 eV per atom; energy above the lowest structure with this stoichiometry = 173 meV/atom; spin magnetization = 0.0184 μB per atom; space-group type = C2/c, No. 15
1.0
-5.242 1.048 1.859
-2.967 -5.044 3.093
3.673 4.345 11.773
Ba Pd O
8 4 12
direct
0.575 0.405 0.353 Ba
0.020 0.405 0.147 Ba
0.425 0.595 0.647 Ba
0.980 0.595 0.853 Ba
0.325 0.797 0.072 Ba
0.878 0.797 0.428 Ba
0.675 0.203 0.928 Ba
0.122 0.203 0.572 Ba
0.658 0.023 0.172 Pd
0.319 0.023 0.328 Pd
0.342 0.977 0.828 Pd
0.681 0.977 0.672 Pd
0.621 0.758 0.250 O
0.379 0.242 0.750 O
0.548 0.354 0.125 O
0.098 0.354 0.375 O
0.452 0.646 0.875 O
0.902 0.646 0.625 O
0.651 0.191 0.532 O
0.158 0.191 0.968 O
0.349 0.809 0.468 O
0.842 0.809 0.032 O
0.978 0.044 0.250 O
0.022 0.956 0.750 O

***

No. 4
BaPdO, optimized geometry, DFT PBE-GGA; uncorrected energy = -5.416 eV per atom; spin magnetization = 0.0000 μB per atom; space-group type = P-1, No. 2
1.0
-3.009 -6.847 -2.440
3.394 -1.832 0.023
-4.658 -0.446 7.814
O Ba Pd
4 4 4
direct
0.715 0.178 0.250 O
0.785 0.822 0.750 O
0.285 0.822 0.750 O
0.215 0.178 0.250 O
0.016 0.283 0.750 Ba
0.484 0.718 0.250 Ba
0.984 0.717 0.250 Ba
0.516 0.282 0.750 Ba
0.250 0.500 0.500 Pd
0.250 0.000 0.000 Pd
0.750 0.500 0.500 Pd
0.750 0.000 0.000 Pd

***

No. 5
BaPdO, optimized geometry, DFT PBE-GGA; uncorrected energy = -5.426 eV per atom; spin magnetization = 0.0000 μB per atom; space-group type = Cm, No. 8
1.0
-2.394 4.679 2.285
0.632 -1.426 3.592
4.642 3.676 -3.610
Pd Ba O
2 2 2
direct
0.256 0.700 0.551 Pd
0.756 0.200 0.051 Pd
0.750 0.181 0.545 Ba
0.250 0.681 0.045 Ba
0.993 0.913 0.789 O
0.493 0.413 0.289 O

***

No. 6
BaPm2PdO5, optimized geometry, DFT PBE-GGA; uncorrected energy = -7.012 eV per atom; spin magnetization = 0.2227 μB per atom; space-group type = I4/mcm, No. 140
1.0
6.740 0.000 0.000
0.000 6.740 0.000
-3.370 -3.370 6.177
Ba Pm Pd O
2 4 2 10
direct
0.250 0.250 0.500 Ba
0.750 0.750 0.500 Ba
0.172 0.328 0.000 Pm
0.672 0.172 0.000 Pm
0.328 0.828 0.000 Pm
0.828 0.672 0.000 Pm
0.250 0.750 0.500 Pd
0.750 0.250 0.500 Pd
0.978 0.478 0.237 O
0.741 0.241 0.763 O
0.022 0.522 0.763 O
0.241 0.022 0.763 O
0.522 0.741 0.763 O
0.759 0.978 0.237 O
0.478 0.259 0.237 O
0.259 0.759 0.237 O
0.500 0.500 0.000 O
0.000 0.000 0.000 O

***

Uncorrected formation energy / eV per atom: -1.3627; -1.3755; -1.7531; -1.3915; -1.4013; -2.4114